The following is a DFT calculation (PBE) of a relaxed P2Os crystal.

Structure (POSCAR):
```
P2Os
1.0
5.7374 0.0000 0.0000
0.0000 5.7374 0.0000
0.0000 0.0000 5.7374
P Os
8 4
Cartesian
0.6586 0.6586 0.6586
0.6586 2.2101 3.5273
2.2101 3.5273 0.6586
2.2101 5.0788 3.5273
3.5273 0.6586 2.2101
3.5273 2.2101 5.0788
5.0788 3.5273 2.2101
5.0788 5.0788 5.0788
0.0000 0.0000 2.8687
0.0000 2.8687 0.0000
2.8687 0.0000 0.0000
2.8687 2.8687 2.8687
```

Computed properties:
E = -7.392 eV per atom
density of states at the Fermi level = 10.63 states/eV per cell
symmetry = No. 205

The following is a DFT calculation (PBE) of a relaxed K2HoSeO6 crystal.

Structure (POSCAR):
```
K2HoSeO6
1.0
6.2634 0.0000 0.0000
-3.1317 5.4243 0.0000
0.0000 0.0000 5.6971
K Ho Se O
2 1 1 6
Cartesian
0.0000 3.6162 0.5617
3.1317 1.8081 5.1354
0.0000 0.0000 2.8485
0.0000 0.0000 0.0000
0.0000 1.4694 4.5962
-1.8591 4.6895 4.5962
1.2726 0.7347 1.1009
1.8591 4.6895 4.5962
4.9908 0.7347 1.1009
3.1317 3.9548 1.1009
```

Computed properties:
uncorrected formation energy = -1.545 eV/atom
E = -5.546 eV per atom
density of states at the Fermi level = 1.42 states/eV per cell
symmetry = No. 164

The following is a DFT calculation (PBE) of a relaxed GeWN3 crystal.

Structure (POSCAR):
```
GeWN3
1.0
3.9716 0.0000 0.0000
0.0000 3.9716 0.0000
0.0000 0.0000 3.9716
Ge W N
1 1 3
Cartesian
0.0000 0.0000 0.0000
1.9858 1.9858 1.9858
0.0000 1.9858 1.9858
1.9858 0.0000 1.9858
1.9858 1.9858 0.0000
```

Computed properties:
uncorrected formation energy = 0.528 eV/atom
E = -7.982 eV per atom
density of states at the Fermi level = 1.67 states/eV per cell
symmetry = No. 221